Record 1
# ZrWC2, optimized geometry, DFT GGA-PBE
data_ZrWC2
_cell_length_a 5.9308
_cell_length_b 5.9308
_cell_length_c 5.9308
_cell_angle_alpha 90.00
_cell_angle_beta 90.00
_cell_angle_gamma 90.00
_symmetry_space_group_name_H-M 'F -4 3 m'
_symmetry_Int_Tables_number 216
_symmetry_space_group_name_Hall 'F -4 2 3'
loop_
_atom_site_label
_atom_site_type_symbol
_atom_site_fract_x
_atom_site_fract_y
_atom_site_fract_z
Zr1 Zr 0.0000 0.0000 0.0000
W1 W 0.2500 0.2500 0.2500
C1 C 0.0000 0.0000 0.5000
C2 C 0.2500 0.2500 0.7500
# Calculated volume   208.61 Å³ per cell
# Formation energy   222.6 kJ/mol of atoms
# Energy relative to the lowest polymorph listed for this composition   2.670 eV/atom

***

Record 2
# ZrW2C, optimized geometry, DFT GGA-PBE
data_ZrW2C
_cell_length_a 3.0955
_cell_length_b 3.0955
_cell_length_c 21.6822
_cell_angle_alpha 90.00
_cell_angle_beta 90.00
_cell_angle_gamma 120.00
_symmetry_space_group_name_H-M 'R 3 m'
_symmetry_Int_Tables_number 160
_symmetry_space_group_name_Hall 'R 3 -2"'
loop_
_atom_site_label
_atom_site_type_symbol
_atom_site_fract_x
_atom_site_fract_y
_atom_site_fract_z
Zr1 Zr 0.0000 0.0000 0.0000
W1 W 0.0000 0.0000 0.2221
W2 W 0.0000 0.0000 0.4543
C1 C 0.0000 0.0000 0.7337
# Calculated volume   179.93 Å³ per cell
# Formation energy   -2.8 kJ/mol of atoms

***

Record 3
# ZrWC2, optimized geometry, DFT GGA-PBE
data_ZrWC2
_cell_length_a 4.8970
_cell_length_b 4.8970
_cell_length_c 9.7938
_cell_angle_alpha 90.00
_cell_angle_beta 90.00
_cell_angle_gamma 90.00
_symmetry_space_group_name_H-M 'I -4 2 d'
_symmetry_Int_Tables_number 122
_symmetry_space_group_name_Hall 'I -4 2bw'
loop_
_atom_site_label
_atom_site_type_symbol
_atom_site_fract_x
_atom_site_fract_y
_atom_site_fract_z
Zr1 Zr 0.0000 0.0000 0.0000
W1 W 0.0000 0.0000 0.5000
C1 C 0.2134 0.2500 0.6250
# Calculated volume   234.86 Å³ per cell
# Formation energy   8.9 kJ/mol of atoms
# Energy relative to the lowest polymorph listed for this composition   0.456 eV/atom

***

Record 4
# ZrWC2, optimized geometry, DFT GGA-PBE
data_ZrWC2
_cell_length_a 3.1110
_cell_length_b 5.5211
_cell_length_c 6.1958
_cell_angle_alpha 90.00
_cell_angle_beta 90.00
_cell_angle_gamma 90.00
_symmetry_space_group_name_H-M 'C m m m'
_symmetry_Int_Tables_number 65
_symmetry_space_group_name_Hall '-C 2 2'
loop_
_atom_site_label
_atom_site_type_symbol
_atom_site_fract_x
_atom_site_fract_y
_atom_site_fract_z
Zr1 Zr 0.0000 0.0000 0.0000
W1 W 0.0000 0.0000 0.5000
C1 C 0.0000 0.5000 0.2658
# Calculated volume   106.42 Å³ per cell
# Formation energy   45.8 kJ/mol of atoms
# Energy relative to the lowest polymorph listed for this composition   0.838 eV/atom

***

Record 5
# ZrWC2, optimized geometry, DFT GGA-PBE
data_ZrWC2
_cell_length_a 3.1459
_cell_length_b 3.1459
_cell_length_c 16.6181
_cell_angle_alpha 90.00
_cell_angle_beta 90.00
_cell_angle_gamma 120.00
_symmetry_space_group_name_H-M 'R 3 m'
_symmetry_Int_Tables_number 160
_symmetry_space_group_name_Hall 'R 3 -2"'
loop_
_atom_site_label
_atom_site_type_symbol
_atom_site_fract_x
_atom_site_fract_y
_atom_site_fract_z
Zr1 Zr 0.0000 0.0000 0.0000
W1 W 0.0000 0.0000 0.8211
C1 C 0.0000 0.0000 0.2335
C2 C 0.0000 0.0000 0.4179
# Calculated volume   142.43 Å³ per cell
# Formation energy   -21.4 kJ/mol of atoms
# Energy relative to the lowest polymorph listed for this composition   0.142 eV/atom

***

Record 6
# ZrWC2, optimized geometry, DFT GGA-PBE
data_ZrWC2
_cell_length_a 3.1449
_cell_length_b 3.1063
_cell_length_c 10.2237
_cell_angle_alpha 90.00
_cell_angle_beta 90.00
_cell_angle_gamma 90.00
_symmetry_space_group_name_H-M 'A m m 2'
_symmetry_Int_Tables_number 38
_symmetry_space_group_name_Hall 'A 2 -2'
loop_
_atom_site_label
_atom_site_type_symbol
_atom_site_fract_x
_atom_site_fract_y
_atom_site_fract_z
Zr1 Zr 0.0000 0.0000 0.0000
W1 W 0.5000 0.0000 0.7259
C1 C 0.0000 0.0000 0.2633
C2 C 0.5000 0.0000 0.5336
# Calculated volume   99.88 Å³ per cell
# Formation energy   5.2 kJ/mol of atoms
# Energy relative to the lowest polymorph listed for this composition   0.418 eV/atom

***

Record 7
# ZrW2C, optimized geometry, DFT GGA-PBE
data_ZrW2C
_cell_length_a 4.1348
_cell_length_b 4.1348
_cell_length_c 7.1186
_cell_angle_alpha 90.00
_cell_angle_beta 90.00
_cell_angle_gamma 90.00
_symmetry_space_group_name_H-M 'I -4 m 2'
_symmetry_Int_Tables_number 119
_symmetry_space_group_name_Hall 'I -4 -2'
loop_
_atom_site_label
_atom_site_type_symbol
_atom_site_fract_x
_atom_site_fract_y
_atom_site_fract_z
Zr1 Zr 0.0000 0.0000 0.0000
W1 W 0.0000 0.0000 0.5000
W2 W 0.0000 0.5000 0.2500
C1 C 0.0000 0.5000 0.7500
# Calculated volume   121.70 Å³ per cell
# Formation energy   110.1 kJ/mol of atoms

***

Record 8
# ZrWC2, optimized geometry, DFT GGA-PBE
data_ZrWC2
_cell_length_a 5.6522
_cell_length_b 5.6522
_cell_length_c 5.6522
_cell_angle_alpha 90.00
_cell_angle_beta 90.00
_cell_angle_gamma 90.00
_symmetry_space_group_name_H-M 'F m -3 m'
_symmetry_Int_Tables_number 225
_symmetry_space_group_name_Hall '-F 4 2 3'
loop_
_atom_site_label
_atom_site_type_symbol
_atom_site_fract_x
_atom_site_fract_y
_atom_site_fract_z
Zr1 Zr 0.0000 0.0000 0.0000
W1 W 0.0000 0.0000 0.5000
C1 C 0.2500 0.2500 0.2500
# Calculated volume   180.58 Å³ per cell
# Formation energy   58.4 kJ/mol of atoms
# Energy relative to the lowest polymorph listed for this composition   0.969 eV/atom